No. 1
This record from Alexandria describes an optimized crystal structure of MgTcPb2. The functional is PBE.

Results
* electronic total energy: -67.1 eV for the cell shown
* energy relative to the elements: 0.653 eV/atom
* DOS at the Fermi energy: 8.9 states/eV per cell
* M_tot: 1.4 μB/f.u.

```
data_MgTcPb2
_chemical_formula_sum 'Mg4 Tc4 Pb8'
_symmetry_space_group_name_H-M 'I -4 2 d'
_symmetry_Int_Tables_number 122
_symmetry_space_group_name_Hall 'I -4 2bw'
_cell_length_a 8.199
_cell_length_b 8.199
_cell_length_c 6.051
_cell_angle_alpha 90.00
_cell_angle_beta 90.00
_cell_angle_gamma 90.00
loop_
_atom_site_label
_atom_site_type_symbol
_atom_site_fract_x
_atom_site_fract_y
_atom_site_fract_z
Mg1 Mg 0.000 0.000 0.000
Tc1 Tc 0.000 0.000 0.500
Pb1 Pb 0.209 0.250 0.625
```

---

No. 2
This record from Alexandria describes an optimized crystal structure of MgTc4Pb. The functional is PBE.

Results
* electronic total energy: -177.2 eV for the cell shown
* energy relative to the elements: 0.413 eV/atom
* DOS at the Fermi energy: 19.6 states/eV per cell
* M_tot: 0.0 μB/f.u.

```
data_MgTc4Pb
_chemical_formula_sum 'Mg4 Tc16 Pb4'
_symmetry_space_group_name_H-M 'F -4 3 m'
_symmetry_Int_Tables_number 216
_symmetry_space_group_name_Hall 'F -4 2 3'
_cell_length_a 7.454
_cell_length_b 7.454
_cell_length_c 7.454
_cell_angle_alpha 90.00
_cell_angle_beta 90.00
_cell_angle_gamma 90.00
loop_
_atom_site_label
_atom_site_type_symbol
_atom_site_fract_x
_atom_site_fract_y
_atom_site_fract_z
Mg1 Mg 0.000 0.000 0.000
Tc1 Tc 0.125 0.125 0.375
Pb1 Pb 0.250 0.250 0.750
```

---

No. 3
This record from Alexandria describes an optimized crystal structure of MgTcPb2. The functional is PBE.

Results
* electronic total energy: -34.9 eV for the cell shown
* energy relative to the elements: 0.484 eV/atom
* DOS at the Fermi energy: 8.3 states/eV per cell
* M_tot: 0.3 μB/f.u.

```
data_MgTcPb2
_chemical_formula_sum 'Mg2 Tc2 Pb4'
_symmetry_space_group_name_H-M 'I 4/m m m'
_symmetry_Int_Tables_number 139
_symmetry_space_group_name_Hall '-I 4 2'
_cell_length_a 4.602
_cell_length_b 4.602
_cell_length_c 8.081
_cell_angle_alpha 90.00
_cell_angle_beta 90.00
_cell_angle_gamma 90.00
loop_
_atom_site_label
_atom_site_type_symbol
_atom_site_fract_x
_atom_site_fract_y
_atom_site_fract_z
Mg1 Mg 0.000 0.000 0.000
Tc1 Tc 0.000 0.000 0.500
Pb1 Pb 0.000 0.500 0.250
```